Below is a geometry-optimized MoPbO2 structure, with properties calculated at the PBE with a Hubbard U level.

Unit cell a=3.325 b=3.325 c=20.721 alpha=90.00 beta=90.00 gamma=120.00
Fractional positions:
Mo  0.000  0.000  0.000
Mo  0.333  0.667  0.667
Mo  0.667  0.333  0.333
Pb  0.000  0.000  0.500
Pb  0.333  0.667  0.167
Pb  0.667  0.333  0.833
O  0.000  0.000  0.382
O  0.000  0.000  0.618
O  0.333  0.667  0.049
O  0.333  0.667  0.284
O  0.667  0.333  0.716
O  0.667  0.333  0.951

Output
The value obtained for the calculated volume is 198.4 Å³ per cell. For the total energy, the calculation gives -77.20 eV per cell.